First-principles (PBE-GGA) data for a geometry-optimized MgBPt3 structure, as listed in the Alexandria database.

Summary:
**Energy above the most stable polymorph in this dataset**: 207 meV/atom
**Energy of formation**: -1.9 eV/f.u.

Lattice parameters (Å, degrees): 5.449 10.632 5.246 90.00 90.00 90.00
Space group Cmcm (No. 63)
One atom of each set of equivalent atoms:
Mg: 0.000 0.081 0.250 [4 per cell]
B: 0.000 0.337 0.750 [4 per cell]
Pt: 0.000 0.500 0.000 [4 per cell]
Pt: 0.248 0.308 0.250 [8 per cell]